Record 1
First-principles (PBE) data for crystalline CaY2Co at its relaxed geometry, as listed in Alexandria via LeMat-Bulk.

As for the calculated formation energy: 0.0391 eV/atom.

Structure (CIF):
```
data_CaY2Co
_chemical_formula_sum 'Ca2 Y4 Co2'
_cell_length_a 3.6923
_cell_length_b 4.0513
_cell_length_c 15.5751
_cell_angle_alpha 90.00
_cell_angle_beta 90.00
_cell_angle_gamma 90.00
_space_group_name_H-M_alt 'A m m 2'
_space_group_IT_number 38
loop_
_space_group_symop_operation_xyz
'x,y,z'
'-x,-y,z'
'-x,y,z'
'x,-y,z'
'x,y+1/2,z+1/2'
'-x,-y+1/2,z+1/2'
'-x,y+1/2,z+1/2'
'x,-y+1/2,z+1/2'
loop_
_atom_site_label
_atom_site_fract_x
_atom_site_fract_y
_atom_site_fract_z
_atom_site_occupancy
Ca1 0.0000 0.0000 0.0000 1
Y1 0.0000 0.0000 0.3145 1
Y2 0.5000 0.0000 0.6713 1
Co1 0.5000 0.0000 0.8380 1
```

---

Record 2
First-principles (PBE) data for crystalline LiNi2Se at its relaxed geometry, as listed in Alexandria via LeMat-Bulk.

As for the energy relative to the elements, uncorrected: -81.1 meV/atom.

Structure (CIF):
```
data_LiNi2Se
_chemical_formula_sum 'Li4 Ni8 Se4'
_cell_length_a 5.8486
_cell_length_b 5.8486
_cell_length_c 5.8486
_cell_angle_alpha 90.00
_cell_angle_beta 90.00
_cell_angle_gamma 90.00
_space_group_name_H-M_alt 'F -4 3 m'
_space_group_IT_number 216
_space_group_name_Hall 'F -4 2 3'
loop_
_atom_site_label
_atom_site_fract_x
_atom_site_fract_y
_atom_site_fract_z
_atom_site_occupancy
Li1 0.0000 0.0000 0.0000 1
Ni1 0.0000 0.0000 0.5000 1
Ni2 0.2500 0.2500 0.7500 1
Se1 0.2500 0.2500 0.2500 1
```

---

| no. | M_tot (μB/atom) | electronic total energy (eV/atom) |
| --- | --- | --- |
| 1 | 0.000 | -5.4698 |
| 2 | 0.000 | -4.3213 |